LaPmYN3, optimized geometry, DFT GGA-PBE; formation energy without anion corrections = -1.355 eV per atom; VASP energy = -98.50 eV per cell; calculated volume = 203 Å³ per cell; crystal system = monoclinic; magnetic moment = 0.000 μB/cell; ρ = 6.8 Mg/m³
1.0
6.1847 0.0000 0.0000
0.0000 3.6166 0.0000
-1.8973 0.0000 9.0838
La Pm Y N
2 2 2 6
direct
0.1471 0.2500 0.1962
0.8529 0.7500 0.8038
0.2707 0.7500 0.5450
0.7293 0.2500 0.4550
0.3562 0.2500 0.8607
0.6438 0.7500 0.1393
0.0375 0.2500 0.6757
0.2581 0.7500 0.9857
0.4703 0.7500 0.3454
0.5297 0.2500 0.6546
0.7419 0.2500 0.0143
0.9625 0.7500 0.3243

***

KRbSe2Br, optimized geometry, DFT GGA-PBE; formation energy without anion corrections = -0.194 eV per atom; VASP energy = -11.68 eV per cell; calculated volume = 261 Å³ per cell; N(E_F) = 7.41 states/eV per cell; crystal system = tetragonal; magnetic moment = 3.002 μB/cell; ρ = 2.3 Mg/m³
1.0
6.3628 0.0000 0.0000
0.0000 6.3628 0.0000
0.0000 0.0000 6.4383
K Rb Se Br
1 1 2 1
direct
0.0000 0.0000 0.0000
0.5000 0.5000 0.5000
0.0000 0.5000 0.5000
0.5000 0.0000 0.5000
0.5000 0.5000 0.0000

***

> Look up the magnetic moment of the first one.

0.000 μB/cell